Record 1
Ho3AgIr2 | GGA-PBE | optimized geometry

Results
- DOS(E_F) (states/eV per atom) = 0.8054
- DFT total energy (eV per cell) = -38.54
- energy relative to the lowest polymorph listed for this composition (eV/atom) = 0.000
- theoretical density (g/cm³) = 12.809
- calculated formation energy (kJ per mole of atoms) = -68

Cell: 3.434 3.434 10.852 Å, 90.00 90.00 90.00°
Fractional positions:
Ho  0.000  0.000  0.309
Ho  0.000  0.000  0.691
Ho  0.000  0.000  0.000
Ir  0.500  0.500  0.162
Ir  0.500  0.500  0.838
Ag  0.500  0.500  0.500



Record 2
Ho2AgIr | GGA-PBE | optimized geometry

Results
- DOS(E_F) (states/eV per atom) = 1.0492
- DFT total energy (eV per cell) = -23.33
- energy relative to the lowest polymorph listed for this composition (eV/atom) = 0.015
- theoretical density (g/cm³) = 11.891
- calculated formation energy (kJ per mole of atoms) = -59

Cell: 3.471 3.471 7.302 Å, 90.00 90.00 90.00°
Fractional positions:
Ho  0.000  0.000  0.224
Ho  0.000  0.000  0.776
Ag  0.500  0.500  0.500
Ir  0.500  0.500  0.000



Record 3
Ho3Ag2Ir | GGA-PBE | optimized geometry

Results
- DOS(E_F) (states/eV per atom) = 0.8563
- DFT total energy (eV per cell) = -31.50
- energy relative to the lowest polymorph listed for this composition (eV/atom) = 0.000
- theoretical density (g/cm³) = 11.271
- calculated formation energy (kJ per mole of atoms) = -52

Cell: 4.987 4.987 6.175 Å, 90.00 90.00 120.00°
Fractional positions:
Ho  0.333  0.667  0.146
Ho  0.000  0.000  0.500
Ho  0.667  0.333  0.854
Ag  0.667  0.333  0.352
Ag  0.333  0.667  0.648
Ir  0.000  0.000  0.000



Record 4
Ho2AgIr | GGA-PBE | optimized geometry

Results
- DOS(E_F) (states/eV per atom) = 0.3841
- DFT total energy (eV per cell) = -46.78
- energy relative to the lowest polymorph listed for this composition (eV/atom) = 0.000
- theoretical density (g/cm³) = 12.008
- calculated formation energy (kJ per mole of atoms) = -61

Cell: 3.533 5.005 9.855 Å, 90.00 90.00 90.00°
Fractional positions:
Ir  0.500  0.750  0.125
Ir  0.500  0.250  0.875
Ag  0.500  0.750  0.622
Ag  0.500  0.250  0.378
Ho  0.000  0.250  0.647
Ho  0.000  0.750  0.888
Ho  0.000  0.250  0.112
Ho  0.000  0.750  0.353



Record 5
Ho8Ag2Ir | GGA-PBE | optimized geometry

Results
- DOS(E_F) (states/eV per atom) = 1.0068
- DFT total energy (eV per cell) = -53.70
- energy relative to the lowest polymorph listed for this composition (eV/atom) = 0.065
- theoretical density (g/cm³) = 9.391
- calculated formation energy (kJ per mole of atoms) = -22

Cell: 6.045 8.778 8.778 Å, 129.17 103.24 103.24°
Fractional positions:
Ho  0.130  0.277  0.277
Ho  0.287  0.843  0.614
Ho  0.651  0.387  0.152
Ho  0.987  0.199  0.813
Ho  0.763  0.725  0.725
Ho  0.287  0.614  0.843
Ho  0.987  0.813  0.199
Ho  0.651  0.152  0.387
Ir  0.281  0.005  0.005
Ag  0.489  0.727  0.292
Ag  0.489  0.292  0.727



Record 6
LaHoAgIr | GGA-PBE | optimized geometry

Results
- DOS(E_F) (states/eV per atom) = 0.7411
- DFT total energy (eV per cell) = -23.22
- theoretical density (g/cm³) = 10.737
- calculated formation energy (kJ per mole of atoms) = -48

Cell: 5.093 5.093 5.093 Å, 60.00 60.00 60.00°
Fractional positions:
La  0.500  0.500  0.500
Ho  0.000  0.000  0.000
Ir  0.750  0.750  0.750
Ag  0.250  0.250  0.250



Record 7
LiHoAgIr | GGA-PBE | optimized geometry

Results
- DOS(E_F) (states/eV per atom) = 0.2271
- DFT total energy (eV per cell) = -19.57
- theoretical density (g/cm³) = 10.642
- calculated formation energy (kJ per mole of atoms) = -33

Cell: 4.705 4.705 4.705 Å, 60.00 60.00 60.00°
Fractional positions:
Li  0.000  0.000  0.000
Ir  0.250  0.250  0.250
Ag  0.750  0.750  0.750
Ho  0.500  0.500  0.500



Record 8
HoMgAgIr | GGA-PBE | optimized geometry

Results
- DOS(E_F) (states/eV per atom) = 0.4436
- DFT total energy (eV per cell) = -19.72
- theoretical density (g/cm³) = 10.539
- calculated formation energy (kJ per mole of atoms) = -44

Cell: 4.777 4.777 4.777 Å, 60.00 60.00 60.00°
Fractional positions:
Ag  0.250  0.250  0.250
Ir  0.750  0.750  0.750
Mg  0.000  0.000  0.000
Ho  0.500  0.500  0.500



Record 9
HoPaAgIr | GGA-PBE | optimized geometry

Results
- DOS(E_F) (states/eV per atom) = 1.3389
- DFT total energy (eV per cell) = -27.09
- theoretical density (g/cm³) = 13.205
- calculated formation energy (kJ per mole of atoms) = -31

Cell: 4.984 4.984 4.984 Å, 60.00 60.00 60.00°
Each line ends with the local moment (μB).
Fractional positions:
Ag  0.750  0.750  0.750  0.00
Ho  0.500  0.500  0.500  0.08
Pa  0.000  0.000  0.000  0.56
Ir  0.250  0.250  0.250  -0.03



Record 10
Ho4AgIr2Pd | GGA-PBE | optimized geometry

Results
- DOS(E_F) (states/eV per atom) = 0.6436
- DFT total energy (eV per cell) = -50.27
- theoretical density (g/cm³) = 12.456
- calculated formation energy (kJ per mole of atoms) = -75

Cell: 4.915 4.915 8.507 Å, 73.21 73.21 60.00°
Fractional positions:
Ho  0.623  0.623  0.131
Ho  0.127  0.127  0.620
Ho  0.377  0.377  0.869
Ho  0.873  0.873  0.380
Ir  0.251  0.251  0.248
Ir  0.749  0.749  0.752
Pd  0.500  0.500  0.500
Ag  0.000  0.000  0.000



Record 11
PmHoAgIr | GGA-PBE | optimized geometry

Results
- DOS(E_F) (states/eV per atom) = 0.7387
- DFT total energy (eV per cell) = -23.18
- theoretical density (g/cm³) = 11.265
- calculated formation energy (kJ per mole of atoms) = -52

Cell: 5.029 5.029 5.029 Å, 60.00 60.00 60.00°
Fractional positions:
Ag  0.250  0.250  0.250
Ir  0.750  0.750  0.750
Ho  0.500  0.500  0.500
Pm  0.000  0.000  0.000



Record 12
HoPuAgIr | GGA-PBE | optimized geometry

Results
- DOS(E_F) (states/eV per atom) = 2.7699
- DFT total energy (eV per cell) = -32.05
- theoretical density (g/cm³) = 13.506
- calculated formation energy (kJ per mole of atoms) = -35

Cell: 4.977 4.977 4.977 Å, 60.00 60.00 60.00°
Each line ends with the local moment (μB).
Fractional positions:
Ag  0.000  0.000  0.000  0.04
Pu  0.250  0.250  0.250  5.25
Ir  0.500  0.500  0.500  -0.18
Ho  0.750  0.750  0.750  0.18



Record 13
Ho4AgIr2Rh | GGA-PBE | optimized geometry

Results
- DOS(E_F) (states/eV per atom) = 0.4365
- DFT total energy (eV per cell) = -52.46
- theoretical density (g/cm³) = 12.649
- calculated formation energy (kJ per mole of atoms) = -75

Cell: 4.881 4.881 8.468 Å, 73.25 73.25 60.00°
Fractional positions:
Ho  0.872  0.872  0.383
Ho  0.622  0.622  0.135
Ho  0.378  0.378  0.865
Ho  0.128  0.128  0.617
Ag  0.000  0.000  0.000
Ir  0.251  0.251  0.248
Ir  0.749  0.749  0.752
Rh  0.500  0.500  0.500



Record 14
HoScAgIr | GGA-PBE | optimized geometry

Results
- DOS(E_F) (states/eV per atom) = 0.9111
- DFT total energy (eV per cell) = -25.07
- theoretical density (g/cm³) = 10.631
- calculated formation energy (kJ per mole of atoms) = -59

Cell: 4.830 4.830 4.830 Å, 60.00 60.00 60.00°
Fractional positions:
Ir  0.750  0.750  0.750
Ho  0.000  0.000  0.000
Sc  0.500  0.500  0.500
Ag  0.250  0.250  0.250



Record 15
SmHoAgIr | GGA-PBE | optimized geometry

Results
- DOS(E_F) (states/eV per atom) = 0.7470
- DFT total energy (eV per cell) = -23.21
- theoretical density (g/cm³) = 11.456
- calculated formation energy (kJ per mole of atoms) = -53

Cell: 5.015 5.015 5.015 Å, 60.00 60.00 60.00°
Fractional positions:
Ho  0.000  0.000  0.000
Ag  0.250  0.250  0.250
Ir  0.750  0.750  0.750
Sm  0.500  0.500  0.500



Record 16
HoThAgIr | GGA-PBE | optimized geometry

Results
- DOS(E_F) (states/eV per atom) = 0.5563
- DFT total energy (eV per cell) = -25.72
- theoretical density (g/cm³) = 12.508
- calculated formation energy (kJ per mole of atoms) = -49

Cell: 5.077 5.077 5.077 Å, 60.00 60.00 60.00°
Fractional positions:
Th  0.250  0.250  0.250
Ho  0.750  0.750  0.750
Ir  0.000  0.000  0.000
Ag  0.500  0.500  0.500



Record 17
Ho4TlAg2Ir | GGA-PBE | optimized geometry

Results
- DOS(E_F) (states/eV per atom) = 0.3661
- DFT total energy (eV per cell) = -39.36
- theoretical density (g/cm³) = 11.292
- calculated formation energy (kJ per mole of atoms) = -50

Cell: 5.103 5.103 8.802 Å, 73.15 73.15 60.00°
Fractional positions:
Ag  0.258  0.258  0.225
Ag  0.742  0.742  0.775
Ho  0.386  0.386  0.843
Ho  0.133  0.133  0.602
Ho  0.614  0.614  0.157
Ho  0.867  0.867  0.398
Tl  0.000  0.000  0.000
Ir  0.500  0.500  0.500



Record 18
HoTmAgIr | GGA-PBE | optimized geometry

Results
- DOS(E_F) (states/eV per atom) = 0.7082
- DFT total energy (eV per cell) = -23.32
- theoretical density (g/cm³) = 12.437
- calculated formation energy (kJ per mole of atoms) = -62

Cell: 4.928 4.928 4.928 Å, 60.00 60.00 60.00°
Fractional positions:
Ir  0.750  0.750  0.750
Ag  0.250  0.250  0.250
Ho  0.000  0.000  0.000
Tm  0.500  0.500  0.500



Record 19
HoZrAgIr | GGA-PBE | optimized geometry

Results
- DOS(E_F) (states/eV per atom) = 0.8615
- DFT total energy (eV per cell) = -26.74
- theoretical density (g/cm³) = 11.417
- calculated formation energy (kJ per mole of atoms) = -46

Cell: 4.855 4.855 4.855 Å, 60.00 60.00 60.00°
Fractional positions:
Ho  0.000  0.000  0.000
Ag  0.250  0.250  0.250
Ir  0.750  0.750  0.750
Zr  0.500  0.500  0.500



Record 20
KHoAg2 | GGA-PBE | optimized geometry

Results
- DOS(E_F) (states/eV per atom) = 0.5052
- DFT total energy (eV per cell) = -11.85
- theoretical density (g/cm³) = 6.080
- calculated formation energy (kJ per mole of atoms) = -11

Cell: 3.735 3.735 8.217 Å, 90.00 90.00 90.00°
Fractional positions:
Ag  0.000  0.000  0.186
Ag  0.000  0.000  0.814
K  0.500  0.500  0.500
Ho  0.500  0.500  0.000



Record 21
KHo2AgO4 | GGA-PBE | optimized geometry

Results
- DOS(E_F) (states/eV per atom) = 0.0000
- formation energy from raw total energies (eV/f.u.) = -18.76
- DFT total energy (eV per cell) = -103.39
- theoretical density (g/cm³) = 6.901

Cell: 3.543 6.229 12.302 Å, 90.00 90.00 106.52°
Fractional positions:
Ho  0.633  0.265  0.062
Ho  0.633  0.265  0.438
Ho  0.367  0.735  0.562
Ho  0.367  0.735  0.938
O  0.413  0.827  0.750
O  0.587  0.173  0.250
O  0.753  0.505  0.920
O  0.247  0.495  0.420
O  0.753  0.505  0.580
O  0.247  0.495  0.080
O  0.000  0.000  0.500
O  0.000  0.000  0.000
Ag  0.772  0.544  0.750
Ag  0.228  0.456  0.250
K  0.066  0.131  0.750
K  0.934  0.869  0.250



Record 22
KHoAgO3 | GGA-PBE | optimized geometry

Results
- DOS(E_F) (states/eV per atom) = 0.4382
- formation energy from raw total energies (eV/f.u.) = -10.25
- DFT total energy (eV per cell) = -67.31
- theoretical density (g/cm³) = 5.327

Cell: 3.525 6.805 9.946 Å, 109.88 90.00 90.00°
Each line ends with the local moment (μB).
Fractional positions:
O  0.750  0.906  0.201  0.23
O  0.750  0.317  0.621  0.15
O  0.250  0.683  0.379  0.15
O  0.750  0.441  0.100  0.03
O  0.250  0.094  0.799  0.23
O  0.250  0.559  0.900  0.03
K  0.250  0.246  0.242  0.00
K  0.750  0.754  0.758  0.00
Ag  0.250  0.145  0.575  0.11
Ag  0.750  0.855  0.425  0.11
Ho  0.750  0.327  0.866  -0.02
Ho  0.250  0.673  0.134  -0.02



Record 23
KHo2AgS4 | GGA-PBE | optimized geometry

Results
- DOS(E_F) (states/eV per atom) = 0.0000
- formation energy from raw total energies (eV/f.u.) = -12.67
- DFT total energy (eV per cell) = -84.57
- theoretical density (g/cm³) = 5.227

Cell: 4.028 7.029 14.172 Å, 90.00 90.00 106.65°
Fractional positions:
Ag  0.164  0.329  0.250
Ag  0.836  0.671  0.750
Ho  0.632  0.263  0.066
Ho  0.368  0.737  0.566
Ho  0.368  0.737  0.934
Ho  0.632  0.263  0.434
S  0.264  0.527  0.399
S  0.000  0.000  0.000
S  0.445  0.889  0.750
S  0.736  0.473  0.601
S  0.555  0.111  0.250
S  0.264  0.527  0.101
S  0.000  0.000  0.500
S  0.736  0.473  0.899
K  0.883  0.766  0.250
K  0.117  0.234  0.750



Record 24
KHoAgS2 | GGA-PBE | optimized geometry

Results
- DOS(E_F) (states/eV per atom) = 0.2572
- formation energy from raw total energies (eV/f.u.) = -5.50
- DFT total energy (eV per cell) = -44.57
- theoretical density (g/cm³) = 4.462

Cell: 5.032 7.365 7.650 Å, 99.14 90.00 90.00°
Fractional positions:
Ho  0.506  0.000  0.750
Ho  0.494  0.000  0.250
S  0.375  0.758  0.464
S  0.375  0.242  0.036
S  0.625  0.242  0.536
S  0.625  0.758  0.964
K  0.137  0.500  0.750
K  0.863  0.500  0.250
Ag  0.000  0.000  0.000
Ag  0.000  0.000  0.500



Record 25
KHo2Ag2Se4 | GGA-PBE | optimized geometry

Results
- DOS(E_F) (states/eV per atom) = 0.4019
- formation energy from raw total energies (eV/f.u.) = -9.79
- DFT total energy (eV per cell) = -39.69
- theoretical density (g/cm³) = 6.823

Cell: 3.873 7.800 8.351 Å, 115.37 90.00 104.37°
Fractional positions:
Ho  0.127  0.254  0.559
Ho  0.873  0.746  0.441
Se  0.470  0.940  0.290
Se  0.782  0.564  0.697
Se  0.218  0.436  0.303
Se  0.530  0.060  0.710
Ag  0.696  0.392  0.041
Ag  0.304  0.608  0.959
K  0.000  0.000  0.000



Record 26
KHo2AgSe4 | GGA-PBE | optimized geometry

Results
- formation energy from raw total energies (eV/f.u.) = -11.71
- DFT total energy (eV per cell) = -77.51
- theoretical density (g/cm³) = 6.087

Cell: 4.179 7.309 14.775 Å, 90.00 90.00 106.61°
Fractional positions:
K  0.878  0.756  0.250
K  0.122  0.244  0.750
Ag  0.839  0.677  0.750
Ag  0.161  0.323  0.250
Ho  0.631  0.262  0.432
Ho  0.369  0.738  0.932
Ho  0.631  0.262  0.068
Ho  0.369  0.738  0.568
Se  0.734  0.468  0.602
Se  0.266  0.532  0.398
Se  0.266  0.532  0.102
Se  0.449  0.899  0.750
Se  0.551  0.101  0.250
Se  0.000  0.000  0.500
Se  0.000  0.000  0.000
Se  0.734  0.468  0.898